# 1
AsRu2Au, optimized geometry, DFT PBE; ΔE_f = 1.96 eV/f.u.
1.0
-0.795 5.200 0.112
-2.566 -2.680 -3.731
-2.792 0.283 0.707
Au As Ru
1 1 2
Direct
0.000 0.500 0.500
0.500 0.000 0.500
0.500 0.500 0.000
0.000 0.000 0.000


# 2
BePbSe, optimized geometry, DFT PBE; formation energy without anion corrections = -0.195 eV/atom; energy above the most stable polymorph in this dataset = 0 meV/atom
1.0
-0.812 0.344 -3.498
2.705 -2.158 1.020
-3.775 -4.529 0.432
Pb Be Se
1 1 1
Direct
0.667 0.333 0.369
0.000 0.000 0.753
0.333 0.667 0.879


# 3
Np4Co7Ge6, optimized geometry, DFT PBE; ΔE_f = -3.39 eV/f.u.
1.0
6.641 0.000 -2.348
-3.321 5.752 -2.348
0.000 0.000 7.044
Co Ge Np
7 6 4
Direct
0.250 0.500 0.750
0.750 0.500 0.250
0.000 0.000 0.000
0.750 0.250 0.500
0.250 0.750 0.500
0.500 0.750 0.250
0.500 0.250 0.750
0.678 0.678 0.000
0.678 0.000 0.678
0.000 0.678 0.678
0.322 0.322 0.000
0.000 0.322 0.322
0.322 0.000 0.322
0.500 0.500 0.500
0.500 0.000 0.000
0.000 0.000 0.500
0.000 0.500 0.000